# 1
Crystalline Pm2P4Rh5 at its relaxed geometry. Source: Alexandria, functional GGA-PBE.

Computed properties:
Crystal system ... orthorhombic
ΔE_f ... -0.9108 eV per atom

Cell lengths 5.4618, 5.5943, 7.5368 Å; angles 79.81, 68.76, 60.78 degrees
Fractional coordinates of all 11 atoms:
Pm  0.8637  0.0000  0.2726
Pm  0.1363  0.0000  0.7274
P  0.4715  0.3143  0.7426
P  0.5285  0.6857  0.2574
P  0.2142  0.3143  0.2574
P  0.7858  0.6857  0.7426
Rh  0.5000  0.0000  0.0000
Rh  0.0000  0.5000  0.0000
Rh  0.5000  0.5000  0.0000
Rh  0.2500  0.5000  0.5000
Rh  0.7500  0.5000  0.5000

***

# 2
Crystalline BeTlSe2 at its relaxed geometry. Source: Alexandria, functional GGA-PBE.

Computed properties:
Energy relative to the lowest polymorph listed for this composition ... 1029 meV/atom
Crystal system ... cubic

Cell lengths 4.9362, 4.9362, 4.9362 Å; angles 60.00, 60.00, 60.00 degrees
Fractional coordinates of all 4 atoms:
Be  0.5000  0.5000  0.5000
Tl  0.7500  0.7500  0.7500
Se  0.0000  0.0000  0.0000
Se  0.2500  0.2500  0.2500

***

# 3
Crystalline Mg2Pd5Au2 at its relaxed geometry. Source: Alexandria, functional GGA-PBE.

Computed properties:
Energy relative to the lowest polymorph listed for this composition ... 291 meV/atom
Crystal system ... orthorhombic
ΔE_f ... -0.1511 eV per atom

Cell lengths 6.6718, 5.5468, 9.4449 Å; angles 107.08, 110.68, 90.00 degrees
Fractional coordinates of all 18 atoms:
Mg  0.1714  0.5984  0.1262
Mg  0.8286  0.4722  0.8738
Mg  0.4548  0.0984  0.1262
Mg  0.5452  0.9722  0.8738
Pd  0.1357  0.6771  0.7806
Pd  0.8643  0.8965  0.2194
Pd  0.1449  0.1771  0.7806
Pd  0.8551  0.3965  0.2194
Pd  0.4193  0.9580  0.3420
Pd  0.5807  0.6160  0.6580
Pd  0.4227  0.4580  0.3420
Pd  0.5773  0.1160  0.6580
Pd  0.1974  0.7863  0.5000
Pd  0.8026  0.2863  0.5000
Au  0.0000  0.0432  0.0000
Au  0.5000  0.5432  0.0000
Au  0.1966  0.2881  0.5000
Au  0.8034  0.7881  0.5000

***

# 4
Crystalline Ti2AlGe2 at its relaxed geometry. Source: Alexandria, functional GGA-PBE.

Computed properties:
Crystal system ... orthorhombic
ΔE_f ... -0.3624 eV per atom

Cell lengths 3.9341, 5.5950, 7.8494 Å; angles 90.00, 104.51, 90.00 degrees
Fractional coordinates of all 10 atoms:
Ti  0.0068  0.2545  0.0136
Ti  0.1979  0.5597  0.3959
Ti  0.8021  0.0597  0.6041
Ti  0.9932  0.7545  0.9864
Al  0.5979  0.9656  0.1957
Al  0.4021  0.4656  0.8043
Ge  0.5832  0.5056  0.1664
Ge  0.1869  0.0802  0.3738
Ge  0.8131  0.5802  0.6262
Ge  0.4168  0.0056  0.8336

***

# 5
Crystalline MnFeSb at its relaxed geometry. Source: Alexandria, functional GGA-PBE.

Computed properties:
Crystal system ... orthorhombic
VASP energy ... -7.1827 eV per atom

Cell lengths 3.8670, 6.3036, 8.2927 Å; angles 90.00, 90.00, 90.00 degrees
Fractional coordinates of all 12 atoms:
Mn  0.7500  0.2923  0.6118
Mn  0.7500  0.2077  0.1118
Mn  0.2500  0.7077  0.3882
Mn  0.2500  0.7923  0.8882
Fe  0.7500  0.0001  0.4033
Fe  0.2500  0.5001  0.0967
Fe  0.7500  0.4999  0.9033
Fe  0.2500  0.9999  0.5967
Sb  0.7500  0.7748  0.1425
Sb  0.2500  0.2252  0.8575
Sb  0.7500  0.7252  0.6425
Sb  0.2500  0.2748  0.3575

***

# 6
Crystalline ScGa2Os2 at its relaxed geometry. Source: Alexandria, functional GGA-PBE.

Computed properties:
Energy relative to the lowest polymorph listed for this composition ... 0 meV/atom
Crystal system ... tetragonal
ΔE_f ... -0.2213 eV per atom

Cell lengths 7.1873, 7.1873, 3.0277 Å; angles 90.00, 90.00, 90.00 degrees
Fractional coordinates of all 10 atoms:
Sc  0.0000  0.0000  0.0000
Sc  0.5000  0.5000  0.0000
Os  0.1633  0.6633  0.5000
Os  0.6633  0.8367  0.5000
Os  0.8367  0.3367  0.5000
Os  0.3367  0.1633  0.5000
Ga  0.3667  0.8667  0.0000
Ga  0.8667  0.6333  0.0000
Ga  0.6333  0.1333  0.0000
Ga  0.1333  0.3667  0.0000

***

# 7
Crystalline GaPb3 at its relaxed geometry. Source: Alexandria, functional GGA-PBE.

Computed properties:
Energy relative to the lowest polymorph listed for this composition ... 51 meV/atom
Crystal system ... orthorhombic
ΔE_f ... 0.0769 eV per atom

Cell lengths 3.5228, 6.0763, 6.4382 Å; angles 118.16, 105.88, 90.00 degrees
Fractional coordinates of all 4 atoms:
Pb  0.2730  0.6256  0.5459
Pb  0.5000  0.4508  0.0000
Pb  0.7270  0.0797  0.4541
Ga  0.0000  0.0106  0.0000

***

# 8
Crystalline CuP2OsCl at its relaxed geometry. Source: Alexandria, functional GGA-PBE.

Computed properties:
Energy relative to the lowest polymorph listed for this composition ... 724 meV/atom
Crystal system ... tetragonal

Cell lengths 4.3609, 4.3609, 4.5156 Å; angles 90.00, 90.00, 90.00 degrees
Fractional coordinates of all 5 atoms:
P  0.0000  0.5000  0.0000
P  0.5000  0.0000  0.0000
Os  0.5000  0.5000  0.5000
Cu  0.0000  0.0000  0.0000
Cl  0.0000  0.0000  0.5000